Record 1
# AgH3Rh | Alexandria via LeMat-Bulk | PBE | relaxed
# - Energy relative to the lowest polymorph listed for this composition: 15.1 meV/atom
# - Electronic total energy: -4.002 eV per atom
data_AgH3Rh
_chemical_formula_sum 'Ag2 H6 Rh2'
_symmetry_space_group_name_H-M 'P 1 21/m 1'
_symmetry_Int_Tables_number 11
_symmetry_space_group_name_Hall '-P 2yb'
_cell_length_a 2.888
_cell_length_b 6.696
_cell_length_c 4.786
_cell_angle_alpha 90.00
_cell_angle_beta 106.89
_cell_angle_gamma 90.00
loop_
_atom_site_label
_atom_site_type_symbol
_atom_site_fract_x
_atom_site_fract_y
_atom_site_fract_z
_atom_site_occupancy
Ag1 Ag 0.227 0.250 0.455 1
H1 H 0.109 0.506 0.228 1
H2 H 0.458 0.250 0.907 1
Rh1 Rh 0.500 0.000 0.000 1



Record 2
# Ag2H5Rh | Alexandria via LeMat-Bulk | PBE | relaxed
# - Electronic total energy: -3.657 eV per atom
data_Ag2H5Rh
_chemical_formula_sum 'Ag2 H5 Rh1'
_symmetry_space_group_name_H-M 'P 1'
_symmetry_Int_Tables_number 1
_symmetry_space_group_name_Hall 'P 1'
_cell_length_a 3.156
_cell_length_b 5.422
_cell_length_c 5.447
_cell_angle_alpha 85.27
_cell_angle_beta 73.20
_cell_angle_gamma 73.27
loop_
_atom_site_label
_atom_site_type_symbol
_atom_site_fract_x
_atom_site_fract_y
_atom_site_fract_z
_atom_site_occupancy
Ag1 Ag 0.000 0.000 0.000 1
Ag2 Ag 0.060 0.489 0.383 1
H1 H 0.066 0.208 0.661 1
H2 H 0.271 0.745 0.708 1
H3 H 0.322 0.160 0.196 1
H4 H 0.524 0.692 0.253 1
H5 H 0.710 0.995 0.582 1
Rh1 Rh 0.292 0.949 0.465 1



Record 3
# AgH3Rh | Alexandria via LeMat-Bulk | PBE | relaxed
# - Energy relative to the lowest polymorph listed for this composition: 0.0 meV/atom
# - Electronic total energy: -4.017 eV per atom
data_AgH3Rh
_chemical_formula_sum 'Ag2 H6 Rh2'
_symmetry_space_group_name_H-M 'C 1 m 1'
_symmetry_Int_Tables_number 8
_symmetry_space_group_name_Hall 'C -2y'
_cell_length_a 10.473
_cell_length_b 3.125
_cell_length_c 2.878
_cell_angle_alpha 90.00
_cell_angle_beta 103.85
_cell_angle_gamma 90.00
loop_
_atom_site_label
_atom_site_type_symbol
_atom_site_fract_x
_atom_site_fract_y
_atom_site_fract_z
_atom_site_occupancy
Ag1 Ag 0.000 0.000 0.000 1
H1 H 0.173 0.000 0.721 1
H2 H 0.211 0.500 0.264 1
H3 H 0.382 0.000 0.905 1
Rh1 Rh 0.278 0.000 0.315 1



Record 4
# AgH3Rh | Alexandria via LeMat-Bulk | PBE | relaxed
# - Energy relative to the lowest polymorph listed for this composition: 21.2 meV/atom
# - Electronic total energy: -3.996 eV per atom
data_AgH3Rh
_chemical_formula_sum 'Ag1 H3 Rh1'
_symmetry_space_group_name_H-M 'P m -3 m'
_symmetry_Int_Tables_number 221
_symmetry_space_group_name_Hall '-P 4 2 3'
_cell_length_a 3.499
_cell_length_b 3.499
_cell_length_c 3.499
_cell_angle_alpha 90.00
_cell_angle_beta 90.00
_cell_angle_gamma 90.00
loop_
_atom_site_label
_atom_site_type_symbol
_atom_site_fract_x
_atom_site_fract_y
_atom_site_fract_z
_atom_site_occupancy
Ag1 Ag 0.000 0.000 0.000 1
H1 H 0.000 0.500 0.500 1
Rh1 Rh 0.500 0.500 0.500 1



Record 5
# AgH3Rh | Alexandria via LeMat-Bulk | PBE | relaxed
# - Energy relative to the lowest polymorph listed for this composition: 108.2 meV/atom
# - Electronic total energy: -3.909 eV per atom
data_AgH3Rh
_chemical_formula_sum 'Ag2 H6 Rh2'
_symmetry_space_group_name_H-M 'P 1 21/m 1'
_symmetry_Int_Tables_number 11
_symmetry_space_group_name_Hall '-P 2yb'
_cell_length_a 3.124
_cell_length_b 4.667
_cell_length_c 6.380
_cell_angle_alpha 90.00
_cell_angle_beta 103.84
_cell_angle_gamma 90.00
loop_
_atom_site_label
_atom_site_type_symbol
_atom_site_fract_x
_atom_site_fract_y
_atom_site_fract_z
_atom_site_occupancy
Ag1 Ag 0.147 0.250 0.295 1
H1 H 0.023 0.750 0.040 1
H2 H 0.325 0.037 0.648 1
Rh1 Rh 0.428 0.250 0.859 1



Record 6
# AgH3Rh | Alexandria via LeMat-Bulk | PBE | relaxed
# - Energy relative to the lowest polymorph listed for this composition: 116.5 meV/atom
# - Electronic total energy: -3.900 eV per atom
data_AgH3Rh
_chemical_formula_sum 'Ag2 H6 Rh2'
_symmetry_space_group_name_H-M 'A m m 2'
_symmetry_Int_Tables_number 38
_symmetry_space_group_name_Hall 'A 2 -2'
_cell_length_a 2.818
_cell_length_b 4.599
_cell_length_c 8.437
_cell_angle_alpha 90.00
_cell_angle_beta 90.00
_cell_angle_gamma 90.00
loop_
_atom_site_label
_atom_site_type_symbol
_atom_site_fract_x
_atom_site_fract_y
_atom_site_fract_z
_atom_site_occupancy
Ag1 Ag 0.000 0.000 0.000 1
H1 H 0.000 0.228 0.681 1
H2 H 0.500 0.000 0.844 1
Rh1 Rh 0.500 0.000 0.653 1



Record 7
# AgH3Rh | Alexandria via LeMat-Bulk | PBE | relaxed
# - Energy relative to the lowest polymorph listed for this composition: 18.1 meV/atom
# - Electronic total energy: -3.999 eV per atom
data_AgH3Rh
_chemical_formula_sum 'Ag2 H6 Rh2'
_symmetry_space_group_name_H-M 'P -1'
_symmetry_Int_Tables_number 2
_symmetry_space_group_name_Hall '-P 1'
_cell_length_a 4.922
_cell_length_b 4.928
_cell_length_c 4.941
_cell_angle_alpha 60.11
_cell_angle_beta 89.99
_cell_angle_gamma 60.05
loop_
_atom_site_label
_atom_site_type_symbol
_atom_site_fract_x
_atom_site_fract_y
_atom_site_fract_z
_atom_site_occupancy
Ag1 Ag 0.250 0.000 0.250 1
H1 H 0.197 0.547 0.756 1
H2 H 0.254 0.550 0.254 1
H3 H 0.299 0.000 0.749 1
Rh1 Rh 0.000 0.500 0.500 1
Rh2 Rh 0.500 0.500 0.000 1



Record 8
# AgH3Rh | Alexandria via LeMat-Bulk | PBE | relaxed
# - Energy relative to the lowest polymorph listed for this composition: 45.6 meV/atom
# - Electronic total energy: -3.971 eV per atom
data_AgH3Rh
_chemical_formula_sum 'Ag4 H12 Rh4'
_symmetry_space_group_name_H-M 'C 1 2/m 1'
_symmetry_Int_Tables_number 12
_symmetry_space_group_name_Hall '-C 2y'
_cell_length_a 10.228
_cell_length_b 3.213
_cell_length_c 5.366
_cell_angle_alpha 90.00
_cell_angle_beta 100.09
_cell_angle_gamma 90.00
loop_
_atom_site_label
_atom_site_type_symbol
_atom_site_fract_x
_atom_site_fract_y
_atom_site_fract_z
_atom_site_occupancy
Ag1 Ag 0.114 0.000 0.384 1
H1 H 0.049 0.500 0.177 1
H2 H 0.185 0.500 0.619 1
H3 H 0.203 0.000 0.910 1
Rh1 Rh 0.126 0.500 0.889 1



Record 9
# AgH3Rh | Alexandria via LeMat-Bulk | PBE | relaxed
# - Energy relative to the lowest polymorph listed for this composition: 114.8 meV/atom
# - Electronic total energy: -3.902 eV per atom
data_AgH3Rh
_chemical_formula_sum 'Ag1 H3 Rh1'
_symmetry_space_group_name_H-M 'P 4 m m'
_symmetry_Int_Tables_number 99
_symmetry_space_group_name_Hall 'P 4 -2'
_cell_length_a 2.900
_cell_length_b 2.900
_cell_length_c 5.071
_cell_angle_alpha 90.00
_cell_angle_beta 90.00
_cell_angle_gamma 90.00
loop_
_atom_site_label
_atom_site_type_symbol
_atom_site_fract_x
_atom_site_fract_y
_atom_site_fract_z
_atom_site_occupancy
Ag1 Ag 0.000 0.000 0.000 1
H1 H 0.000 0.000 0.635 1
H2 H 0.000 0.500 0.342 1
Rh1 Rh 0.500 0.500 0.536 1



Record 10
# AgHRuRh2 | Alexandria via LeMat-Bulk | PBE | relaxed
# - Electronic total energy: -5.747 eV per atom
data_AgHRuRh2
_chemical_formula_sum 'Ag1 H1 Ru1 Rh2'
_symmetry_space_group_name_H-M 'P 4/m m m'
_symmetry_Int_Tables_number 123
_symmetry_space_group_name_Hall '-P 4 2'
_cell_length_a 3.988
_cell_length_b 3.988
_cell_length_c 3.929
_cell_angle_alpha 90.00
_cell_angle_beta 90.00
_cell_angle_gamma 90.00
loop_
_atom_site_label
_atom_site_type_symbol
_atom_site_fract_x
_atom_site_fract_y
_atom_site_fract_z
_atom_site_occupancy
Ag1 Ag 0.000 0.000 0.000 1
H1 H 0.500 0.500 0.500 1
Ru1 Ru 0.500 0.500 0.000 1
Rh1 Rh 0.000 0.500 0.500 1



Record 11
# Sc2AgHRh | Alexandria via LeMat-Bulk | PBE | relaxed
# - Electronic total energy: -5.776 eV per atom
data_Sc2AgHRh
_chemical_formula_sum 'Sc2 Ag1 H1 Rh1'
_symmetry_space_group_name_H-M 'P 4/m m m'
_symmetry_Int_Tables_number 123
_symmetry_space_group_name_Hall '-P 4 2'
_cell_length_a 4.585
_cell_length_b 4.585
_cell_length_c 3.643
_cell_angle_alpha 90.00
_cell_angle_beta 90.00
_cell_angle_gamma 90.00
loop_
_atom_site_label
_atom_site_type_symbol
_atom_site_fract_x
_atom_site_fract_y
_atom_site_fract_z
_atom_site_occupancy
Sc1 Sc 0.000 0.500 0.000 1
Ag1 Ag 0.000 0.000 0.500 1
H1 H 0.500 0.500 0.000 1
Rh1 Rh 0.500 0.500 0.500 1



Record 12
# SiAgHRh2 | Alexandria via LeMat-Bulk | PBE | relaxed
# - Electronic total energy: -5.324 eV per atom
data_SiAgHRh2
_chemical_formula_sum 'Si1 Ag1 H1 Rh2'
_symmetry_space_group_name_H-M 'P 4/m m m'
_symmetry_Int_Tables_number 123
_symmetry_space_group_name_Hall '-P 4 2'
_cell_length_a 4.011
_cell_length_b 4.011
_cell_length_c 3.787
_cell_angle_alpha 90.00
_cell_angle_beta 90.00
_cell_angle_gamma 90.00
loop_
_atom_site_label
_atom_site_type_symbol
_atom_site_fract_x
_atom_site_fract_y
_atom_site_fract_z
_atom_site_occupancy
Si1 Si 0.000 0.000 0.000 1
Ag1 Ag 0.500 0.500 0.000 1
H1 H 0.500 0.500 0.500 1
Rh1 Rh 0.000 0.500 0.500 1



no.,spin magnetization (Bohr magnetons per cell)
1,0.00
2,0.00
3,0.00
4,0.00
5,0.00
6,0.00
7,0.00
8,0.00
9,0.00
10,1.61
11,0.00
12,0.00